*P*
Density functional theory data (GGA-PBE) for crystalline Hg3As at its relaxed geometry.

Geometry as CIF:
```
data_Hg3As
_chemical_formula_sum 'Hg3 As1'
_space_group_name_H-M_alt 'P 1'
_space_group_IT_number 1
_cell_length_a 5.127
_cell_length_b 5.127
_cell_length_c 5.127
_cell_angle_alpha 60.00
_cell_angle_beta 60.00
_cell_angle_gamma 60.00
loop_
_space_group_symop_operation_xyz
'x,y,z'
loop_
_atom_site_label
_atom_site_type_symbol
_atom_site_fract_x
_atom_site_fract_y
_atom_site_fract_z
Hg1 Hg 0.750 0.750 0.750
Hg2 Hg 0.500 0.500 0.500
Hg3 Hg 0.250 0.250 0.250
As1 As 0.000 0.000 0.000
```

Properties
Its space group is Fm-3m.

---

*Q*
Density functional theory data (GGA-PBE) for crystalline Hg3As at its relaxed geometry.

Geometry as CIF:
```
data_Hg3As
_chemical_formula_sum 'Hg3 As1'
_space_group_name_H-M_alt 'P 1'
_space_group_IT_number 1
_cell_length_a 6.195
_cell_length_b 6.195
_cell_length_c 6.195
_cell_angle_alpha 140.32
_cell_angle_beta 140.32
_cell_angle_gamma 57.37
loop_
_space_group_symop_operation_xyz
'x,y,z'
loop_
_atom_site_label
_atom_site_type_symbol
_atom_site_fract_x
_atom_site_fract_y
_atom_site_fract_z
As1 As 0.000 0.000 0.000
Hg1 Hg 0.250 0.750 0.500
Hg2 Hg 0.500 0.500 0.000
Hg3 Hg 0.750 0.250 0.500
```

Properties
Its space group is I4/mmm.

---

*R*
Density functional theory data (GGA-PBE) for crystalline Hg3As at its relaxed geometry.

Geometry as CIF:
```
data_Hg3As
_chemical_formula_sum 'Hg3 As1'
_space_group_name_H-M_alt 'P 1'
_space_group_IT_number 1
_cell_length_a 2.953
_cell_length_b 2.953
_cell_length_c 11.314
_cell_angle_alpha 90.00
_cell_angle_beta 90.00
_cell_angle_gamma 90.00
loop_
_space_group_symop_operation_xyz
'x,y,z'
loop_
_atom_site_label
_atom_site_type_symbol
_atom_site_fract_x
_atom_site_fract_y
_atom_site_fract_z
Hg1 Hg 0.000 0.000 0.500
Hg2 Hg 0.500 0.500 0.761
Hg3 Hg 0.500 0.500 0.239
As1 As 0.000 0.000 0.000
```

Properties
Its space group is P4/mmm.

---

*S*
Density functional theory data (GGA-PBE) for crystalline Hg3As at its relaxed geometry.

Geometry as CIF:
```
data_Hg3As
_chemical_formula_sum 'Hg3 As1'
_space_group_name_H-M_alt 'P 1'
_space_group_IT_number 1
_cell_length_a 7.029
_cell_length_b 7.029
_cell_length_c 5.709
_cell_angle_alpha 114.85
_cell_angle_beta 114.85
_cell_angle_gamma 23.62
loop_
_space_group_symop_operation_xyz
'x,y,z'
loop_
_atom_site_label
_atom_site_type_symbol
_atom_site_fract_x
_atom_site_fract_y
_atom_site_fract_z
As1 As 0.000 0.000 0.000
Hg1 Hg 0.500 0.500 0.500
Hg2 Hg 0.231 0.231 0.231
Hg3 Hg 0.769 0.769 0.769
```

Properties
Its space group is C2/m.

---

*S* (0.023 eV/atom below the next structure)

---

*P*
Density functional theory data (GGA-PBE) for crystalline Hg3As at its relaxed geometry.

Geometry as CIF:
```
data_Hg3As
_chemical_formula_sum 'Hg12 As4'
_space_group_name_H-M_alt 'P 1'
_space_group_IT_number 1
_cell_length_a 7.520
_cell_length_b 7.561
_cell_length_c 8.691
_cell_angle_alpha 90.00
_cell_angle_beta 90.00
_cell_angle_gamma 90.00
loop_
_space_group_symop_operation_xyz
'x,y,z'
loop_
_atom_site_label
_atom_site_type_symbol
_atom_site_fract_x
_atom_site_fract_y
_atom_site_fract_z
Hg1 Hg 0.558 0.246 0.920
Hg2 Hg 0.746 0.500 0.250
Hg3 Hg 0.442 0.754 0.420
Hg4 Hg 0.058 0.254 0.080
Hg5 Hg 0.442 0.754 0.080
Hg6 Hg 0.942 0.746 0.580
Hg7 Hg 0.254 0.500 0.750
Hg8 Hg 0.058 0.254 0.420
Hg9 Hg 0.754 0.000 0.250
Hg10 Hg 0.942 0.746 0.920
Hg11 Hg 0.558 0.246 0.580
Hg12 Hg 0.246 0.000 0.750
As1 As 0.514 0.246 0.250
As2 As 0.986 0.746 0.250
As3 As 0.486 0.754 0.750
As4 As 0.014 0.254 0.750
```

Properties
Its space group is Pnma.

---

*Q*
Density functional theory data (GGA-PBE) for crystalline Hg3As at its relaxed geometry.

Geometry as CIF:
```
data_Hg3As
_chemical_formula_sum 'Hg3 As1'
_space_group_name_H-M_alt 'P 1'
_space_group_IT_number 1
_cell_length_a 2.908
_cell_length_b 5.950
_cell_length_c 5.835
_cell_angle_alpha 90.00
_cell_angle_beta 90.00
_cell_angle_gamma 90.00
loop_
_space_group_symop_operation_xyz
'x,y,z'
loop_
_atom_site_label
_atom_site_type_symbol
_atom_site_fract_x
_atom_site_fract_y
_atom_site_fract_z
Hg1 Hg 0.500 0.500 0.751
Hg2 Hg 0.500 0.500 0.249
Hg3 Hg 0.000 0.000 0.500
As1 As 0.000 0.000 0.000
```

Properties
Its space group is Pmmm.

---

*R*
Density functional theory data (GGA-PBE) for crystalline Hg3As at its relaxed geometry.

Geometry as CIF:
```
data_Hg3As
_chemical_formula_sum 'Hg3 As1'
_space_group_name_H-M_alt 'P 1'
_space_group_IT_number 1
_cell_length_a 3.060
_cell_length_b 3.060
_cell_length_c 12.139
_cell_angle_alpha 90.00
_cell_angle_beta 90.00
_cell_angle_gamma 120.00
loop_
_space_group_symop_operation_xyz
'x,y,z'
loop_
_atom_site_label
_atom_site_type_symbol
_atom_site_fract_x
_atom_site_fract_y
_atom_site_fract_z
As1 As 0.000 0.000 0.000
Hg1 Hg 0.667 0.333 0.768
Hg2 Hg 0.000 0.000 0.500
Hg3 Hg 0.667 0.333 0.232
```

Properties
Its space group is P-6m2.

---

*P* (0.105 eV/atom below the next structure)

---

*P*
Density functional theory data (GGA-PBE) for crystalline Hg3As at its relaxed geometry.

Geometry as CIF:
```
data_Hg3As
_chemical_formula_sum 'Hg3 As1'
_space_group_name_H-M_alt 'P 1'
_space_group_IT_number 1
_cell_length_a 5.682
_cell_length_b 2.966
_cell_length_c 6.504
_cell_angle_alpha 65.76
_cell_angle_beta 90.00
_cell_angle_gamma 90.00
loop_
_space_group_symop_operation_xyz
'x,y,z'
loop_
_atom_site_label
_atom_site_type_symbol
_atom_site_fract_x
_atom_site_fract_y
_atom_site_fract_z
Hg1 Hg 0.000 0.500 0.500
Hg2 Hg 0.500 0.231 0.752
Hg3 Hg 0.500 0.769 0.248
As1 As 0.000 0.000 0.000
```

Properties
Its space group is P2/m.

---

*Q*
Density functional theory data (GGA-PBE) for crystalline Hg3As at its relaxed geometry.

Geometry as CIF:
```
data_Hg3As
_chemical_formula_sum 'Hg3 As1'
_space_group_name_H-M_alt 'P 1'
_space_group_IT_number 1
_cell_length_a 7.032
_cell_length_b 7.032
_cell_length_c 7.032
_cell_angle_alpha 156.56
_cell_angle_beta 133.41
_cell_angle_gamma 52.79
loop_
_space_group_symop_operation_xyz
'x,y,z'
loop_
_atom_site_label
_atom_site_type_symbol
_atom_site_fract_x
_atom_site_fract_y
_atom_site_fract_z
As1 As 0.000 0.000 0.000
Hg1 Hg 0.500 0.500 0.000
Hg2 Hg 0.227 0.727 0.500
Hg3 Hg 0.773 0.273 0.500
```

Properties
Its space group is Immm.

---

*R*
Density functional theory data (GGA-PBE) for crystalline Hg3As at its relaxed geometry.

Geometry as CIF:
```
data_Hg3As
_chemical_formula_sum 'Hg3 As1'
_space_group_name_H-M_alt 'P 1'
_space_group_IT_number 1
_cell_length_a 4.530
_cell_length_b 4.530
_cell_length_c 4.530
_cell_angle_alpha 90.00
_cell_angle_beta 90.00
_cell_angle_gamma 90.00
loop_
_space_group_symop_operation_xyz
'x,y,z'
loop_
_atom_site_label
_atom_site_type_symbol
_atom_site_fract_x
_atom_site_fract_y
_atom_site_fract_z
Hg1 Hg 0.500 0.500 0.000
Hg2 Hg 0.000 0.500 0.500
Hg3 Hg 0.500 0.000 0.500
As1 As 0.000 0.000 0.000
```

Properties
Its space group is Pm-3m.

---

*P* (0.042 eV/atom below the next structure)

---

*P*
Density functional theory data (GGA-PBE) for crystalline Hg3As at its relaxed geometry.

Geometry as CIF:
```
data_Hg3As
_chemical_formula_sum 'Hg3 As1'
_space_group_name_H-M_alt 'P 1'
_space_group_IT_number 1
_cell_length_a 5.085
_cell_length_b 5.085
_cell_length_c 5.085
_cell_angle_alpha 109.00
_cell_angle_beta 109.00
_cell_angle_gamma 109.00
loop_
_space_group_symop_operation_xyz
'x,y,z'
loop_
_atom_site_label
_atom_site_type_symbol
_atom_site_fract_x
_atom_site_fract_y
_atom_site_fract_z
Hg1 Hg 0.000 0.500 0.500
Hg2 Hg 0.500 0.000 0.500
Hg3 Hg 0.500 0.500 0.000
As1 As 0.000 0.000 0.000
```

Properties
Its space group is R-3m.

---

*Q*
Density functional theory data (GGA-PBE) for crystalline Hg3As at its relaxed geometry.

Geometry as CIF:
```
data_Hg3As
_chemical_formula_sum 'Hg3 As1'
_space_group_name_H-M_alt 'P 1'
_space_group_IT_number 1
_cell_length_a 5.872
_cell_length_b 5.872
_cell_length_c 5.872
_cell_angle_alpha 149.34
_cell_angle_beta 91.60
_cell_angle_gamma 96.42
loop_
_space_group_symop_operation_xyz
'x,y,z'
loop_
_atom_site_label
_atom_site_type_symbol
_atom_site_fract_x
_atom_site_fract_y
_atom_site_fract_z
Hg1 Hg 0.445 0.746 0.699
Hg2 Hg 0.954 0.254 0.699
Hg3 Hg 0.474 0.500 0.974
As1 As 0.960 0.000 0.960
```

Properties
Its space group is Imm2.

---

*P* (0.055 eV/atom below the next structure)

---

*P*
Density functional theory data (GGA-PBE) for crystalline Hg3As5 at its relaxed geometry.

Geometry as CIF:
```
data_Hg3As5
_chemical_formula_sum 'Hg3 As5'
_space_group_name_H-M_alt 'P 1'
_space_group_IT_number 1
_cell_length_a 5.842
_cell_length_b 5.842
_cell_length_c 5.251
_cell_angle_alpha 90.00
_cell_angle_beta 90.00
_cell_angle_gamma 89.92
loop_
_space_group_symop_operation_xyz
'x,y,z'
loop_
_atom_site_label
_atom_site_type_symbol
_atom_site_fract_x
_atom_site_fract_y
_atom_site_fract_z
Hg1 Hg 0.318 0.682 0.500
Hg2 Hg 0.682 0.318 0.500
Hg3 Hg 0.500 0.500 0.000
As1 As 0.000 0.500 0.000
As2 As 0.850 0.850 0.500
As3 As 0.150 0.150 0.500
As4 As 0.500 0.000 0.000
As5 As 0.000 0.000 0.000
```

Properties
Its space group is Cmmm.

---

*Q*
Density functional theory data (GGA-PBE) for crystalline Hg3As5 at its relaxed geometry.

Geometry as CIF:
```
data_Hg3As5
_chemical_formula_sum 'Hg6 As10'
_space_group_name_H-M_alt 'P 1'
_space_group_IT_number 1
_cell_length_a 9.005
_cell_length_b 9.005
_cell_length_c 5.545
_cell_angle_alpha 90.00
_cell_angle_beta 90.00
_cell_angle_gamma 120.00
loop_
_space_group_symop_operation_xyz
'x,y,z'
loop_
_atom_site_label
_atom_site_type_symbol
_atom_site_fract_x
_atom_site_fract_y
_atom_site_fract_z
As1 As 0.840 0.840 0.250
As2 As 0.667 0.333 0.500
As3 As 0.000 0.160 0.250
As4 As 0.333 0.667 0.500
As5 As 0.000 0.840 0.750
As6 As 0.840 0.000 0.750
As7 As 0.160 0.000 0.250
As8 As 0.333 0.667 0.000
As9 As 0.667 0.333 0.000
As10 As 0.160 0.160 0.750
Hg1 Hg 0.420 0.420 0.250
Hg2 Hg 0.000 0.580 0.250
Hg3 Hg 0.580 0.000 0.250
Hg4 Hg 0.420 0.000 0.750
Hg5 Hg 0.580 0.580 0.750
Hg6 Hg 0.000 0.420 0.750
```

Properties
Its space group is P6_3/mcm.

---

*Q* (0.041 eV/atom below the next structure)

---

*P*
Density functional theory data (GGA-PBE) for crystalline Hg3As4 at its relaxed geometry.

Geometry as CIF:
```
data_Hg3As4
_chemical_formula_sum 'Hg3 As4'
_space_group_name_H-M_alt 'P 1'
_space_group_IT_number 1
_cell_length_a 13.732
_cell_length_b 13.732
_cell_length_c 13.732
_cell_angle_alpha 164.56
_cell_angle_beta 164.56
_cell_angle_gamma 21.90
loop_
_space_group_symop_operation_xyz
'x,y,z'
loop_
_atom_site_label
_atom_site_type_symbol
_atom_site_fract_x
_atom_site_fract_y
_atom_site_fract_z
As1 As 0.618 0.618 0.000
As2 As 0.097 0.097 0.000
As3 As 0.903 0.903 0.000
As4 As 0.382 0.382 0.000
Hg1 Hg 0.000 0.000 0.000
Hg2 Hg 0.280 0.280 0.000
Hg3 Hg 0.720 0.720 0.000
```

Properties
Its space group is I4/mmm.

---

*Q*
Density functional theory data (GGA-PBE) for crystalline Hg3As4 at its relaxed geometry.

Geometry as CIF:
```
data_Hg3As4
_chemical_formula_sum 'Hg3 As4'
_space_group_name_H-M_alt 'P 1'
_space_group_IT_number 1
_cell_length_a 5.831
_cell_length_b 5.831
_cell_length_c 5.463
_cell_angle_alpha 90.00
_cell_angle_beta 90.00
_cell_angle_gamma 120.00
loop_
_space_group_symop_operation_xyz
'x,y,z'
loop_
_atom_site_label
_atom_site_type_symbol
_atom_site_fract_x
_atom_site_fract_y
_atom_site_fract_z
As1 As 0.333 0.667 0.500
As2 As 0.667 0.333 0.500
As3 As 0.000 0.000 0.290
As4 As 0.000 0.000 0.710
Hg1 Hg 0.000 0.500 0.000
Hg2 Hg 0.500 0.500 0.000
Hg3 Hg 0.500 0.000 0.000
```

Properties
Its space group is P6/mmm.

---

*P* (0.458 eV/atom below the next structure)

---

*P*
Density functional theory data (GGA-PBE) for crystalline Ho2HgAs at its relaxed geometry.

Geometry as CIF:
```
data_Ho2HgAs
_chemical_formula_sum 'Ho2 Hg1 As1'
_space_group_name_H-M_alt 'P 1'
_space_group_IT_number 1
_cell_length_a 3.982
_cell_length_b 3.982
_cell_length_c 7.996
_cell_angle_alpha 75.58
_cell_angle_beta 75.58
_cell_angle_gamma 60.00
loop_
_space_group_symop_operation_xyz
'x,y,z'
loop_
_atom_site_label
_atom_site_type_symbol
_atom_site_fract_x
_atom_site_fract_y
_atom_site_fract_z
As1 As 0.000 0.000 0.000
Ho1 Ho 0.739 0.739 0.782
Ho2 Ho 0.261 0.261 0.218
Hg1 Hg 0.500 0.500 0.500
```

Properties
Its space group is R-3m.

---

*Q*
Density functional theory data (GGA-PBE) for crystalline Ho2HgAs at its relaxed geometry.

Geometry as CIF:
```
data_Ho2HgAs
_chemical_formula_sum 'Ho2 Hg1 As1'
_space_group_name_H-M_alt 'P 1'
_space_group_IT_number 1
_cell_length_a 3.974
_cell_length_b 3.974
_cell_length_c 8.045
_cell_angle_alpha 75.70
_cell_angle_beta 75.70
_cell_angle_gamma 60.00
loop_
_space_group_symop_operation_xyz
'x,y,z'
loop_
_atom_site_label
_atom_site_type_symbol
_atom_site_fract_x
_atom_site_fract_y
_atom_site_fract_z
Ho1 Ho 0.072 0.072 0.783
Ho2 Ho 0.261 0.261 0.217
As1 As 0.668 0.668 0.997
Hg1 Hg 0.499 0.499 0.503
```

Properties
Its space group is R3m.

---

*P* (0.047 eV/atom below the next structure)

---

*P*
Density functional theory data (GGA-PBE) for crystalline Hg2AsI at its relaxed geometry.

Geometry as CIF:
```
data_Hg2AsI
_chemical_formula_sum 'Hg2 As1 I1'
_space_group_name_H-M_alt 'P 1'
_space_group_IT_number 1
_cell_length_a 4.308
_cell_length_b 4.308
_cell_length_c 8.775
_cell_angle_alpha 75.79
_cell_angle_beta 75.79
_cell_angle_gamma 60.00
loop_
_space_group_symop_operation_xyz
'x,y,z'
loop_
_atom_site_label
_atom_site_type_symbol
_atom_site_fract_x
_atom_site_fract_y
_atom_site_fract_z
Hg1 Hg 0.113 0.113 0.660
Hg2 Hg 0.887 0.887 0.340
As1 As 0.500 0.500 0.500
I1 I 0.000 0.000 0.000
```

Properties
Its space group is R-3m.

---

*Q*
Density functional theory data (GGA-PBE) for crystalline Hg2AsI at its relaxed geometry.

Geometry as CIF:
```
data_Hg2AsI
_chemical_formula_sum 'Hg8 As4 I4'
_space_group_name_H-M_alt 'P 1'
_space_group_IT_number 1
_cell_length_a 7.794
_cell_length_b 8.046
_cell_length_c 9.560
_cell_angle_alpha 90.00
_cell_angle_beta 90.00
_cell_angle_gamma 90.00
loop_
_space_group_symop_operation_xyz
'x,y,z'
loop_
_atom_site_label
_atom_site_type_symbol
_atom_site_fract_x
_atom_site_fract_y
_atom_site_fract_z
As1 As 0.500 0.874 0.133
As2 As 0.000 0.626 0.633
As3 As 0.500 0.374 0.367
As4 As 0.000 0.126 0.867
I1 I 0.998 0.618 0.127
I2 I 0.498 0.882 0.627
I3 I 0.998 0.118 0.373
I4 I 0.498 0.382 0.873
Hg1 Hg 0.501 0.546 0.136
Hg2 Hg 0.750 0.500 0.500
Hg3 Hg 0.501 0.046 0.364
Hg4 Hg 0.250 0.000 0.000
Hg5 Hg 0.001 0.454 0.864
Hg6 Hg 0.250 0.500 0.500
Hg7 Hg 0.001 0.954 0.636
Hg8 Hg 0.750 0.000 0.000
```

Properties
Its space group is Pna2_1.

---

*R*
Density functional theory data (GGA-PBE) for crystalline Hg2AsI at its relaxed geometry.

Geometry as CIF:
```
data_Hg2AsI
_chemical_formula_sum 'Hg2 As1 I1'
_space_group_name_H-M_alt 'P 1'
_space_group_IT_number 1
_cell_length_a 5.349
_cell_length_b 5.349
_cell_length_c 5.349
_cell_angle_alpha 60.00
_cell_angle_beta 60.00
_cell_angle_gamma 60.00
loop_
_space_group_symop_operation_xyz
'x,y,z'
loop_
_atom_site_label
_atom_site_type_symbol
_atom_site_fract_x
_atom_site_fract_y
_atom_site_fract_z
Hg1 Hg 0.750 0.750 0.750
Hg2 Hg 0.250 0.250 0.250
As1 As 0.000 0.000 0.000
I1 I 0.500 0.500 0.500
```

Properties
Its space group is Fm-3m.

---

*Q* (0.217 eV/atom below the next structure)